Entry 1:
A plane-wave DFT calculation with PBE was carried out for an optimized crystal structure of Li6AsPt2.

Results
Its space-group type is R-3m, No. 166. As for the total energy: -3.723 eV/atom.

abc: 5.015 5.015 5.015
angles: 95.88 95.88 95.88
Fractional positions:
1 Li 0.000 0.332 0.668
2 Li 0.000 0.668 0.332
3 Li 0.332 0.000 0.668
4 Li 0.332 0.668 0.000
5 Li 0.668 0.000 0.332
6 Li 0.668 0.332 0.000
7 As 0.500 0.500 0.500
8 Pt 0.168 0.168 0.168
9 Pt 0.832 0.832 0.832

***

Entry 2:
A plane-wave DFT calculation with PBE was carried out for an optimized crystal structure of Ba3MnOs.

Results
Its space-group type is Pm-3m, No. 221. As for the total energy: -4.444 eV/atom.

abc: 5.983 5.983 5.983
angles: 90.00 90.00 90.00
Fractional positions:
1 Ba 0.000 0.000 0.500
2 Ba 0.000 0.500 0.000
3 Ba 0.500 0.000 0.000
4 Mn 0.500 0.500 0.500
5 Os 0.000 0.000 0.000

***

Entry 3:
A plane-wave DFT calculation with PBE was carried out for an optimized crystal structure of Cu2RePt.

Results
Its space-group type is Cmmm, No. 65. For the energy above the most stable polymorph in this dataset, the calculation gives 13.95 kJ/mol of atoms.

abc: 2.768 4.556 8.945
angles: 90.00 90.00 90.00
Fractional positions:
1 Cu 0.000 0.000 0.248
2 Cu 0.000 0.000 0.752
3 Cu 0.500 0.500 0.248
4 Cu 0.500 0.500 0.752
5 Re 0.000 0.500 0.000
6 Re 0.500 0.000 0.000
7 Pt 0.000 0.500 0.500
8 Pt 0.500 0.000 0.500

***

What did the second record say?
A plane-wave DFT calculation with PBE was carried out for an optimized crystal structure of Ba3MnOs.

Results
Its space-group type is Pm-3m, No. 221. As for the total energy: -4.444 eV/atom.

abc: 5.983 5.983 5.983
angles: 90.00 90.00 90.00
Fractional positions:
1 Ba 0.000 0.000 0.500
2 Ba 0.000 0.500 0.000
3 Ba 0.500 0.000 0.000
4 Mn 0.500 0.500 0.500
5 Os 0.000 0.000 0.000